Entry from the Alexandria database: a relaxed structure of PrSn3Rh2 (PBE).

abc: 5.877 6.674 6.674
angles: 95.96 93.09 93.09
Atoms (fractional coordinates):
Pr (0.225, 0.399, 0.399)
Pr (0.775, 0.601, 0.601)
Sn (0.742, 0.430, 0.102)
Sn (0.742, 0.102, 0.430)
Sn (0.258, 0.570, 0.898)
Sn (0.726, 0.936, 0.936)
Sn (0.274, 0.064, 0.064)
Sn (0.258, 0.898, 0.570)
Rh (0.500, 0.764, 0.236)
Rh (0.000, 0.786, 0.214)
Rh (0.000, 0.214, 0.786)
Rh (0.500, 0.236, 0.764)

Total moment (μB per formula unit): 0.0
Formation energy (eV/atom): -0.5431
DFT total energy (eV/atom): -5.79

Entry from the Alexandria database: a relaxed structure of NiSb2Pd (PBE).

abc: 6.506 6.506 6.385
angles: 59.37 59.37 90.00
Atoms (fractional coordinates):
Sb (0.605, 0.125, 0.250)
Sb (0.145, 0.625, 0.250)
Sb (0.375, 0.395, 0.750)
Sb (0.875, 0.855, 0.750)
Pd (0.000, 0.000, 0.000)
Pd (0.750, 0.250, 0.500)
Ni (0.500, 0.500, 0.000)
Ni (0.250, 0.750, 0.500)

Total moment (μB per formula unit): 0.0
DFT total energy (eV/atom): -4.77

Entry from the Alexandria database: a relaxed structure of Th2FeN4 (PBE).

abc: 5.360 5.356 6.835
angles: 90.00 113.09 90.00
Last column: magnetic moment on the atom in μB.
Atoms (fractional coordinates):
Th (0.639, 0.000, 0.279)  0.04
Th (0.361, 0.000, 0.721)  0.04
Th (0.861, 0.500, 0.721)  0.04
Th (0.139, 0.500, 0.279)  0.04
Fe (0.000, 0.000, 0.000)  1.88
Fe (0.500, 0.500, 0.000)  1.88
N (0.827, 0.999, 0.655)  0.00
N (0.173, 0.001, 0.345)  0.00
N (0.673, 0.499, 0.345)  0.00
N (0.327, 0.501, 0.655)  0.00
N (0.750, 0.250, 0.000)  0.12
N (0.750, 0.750, 0.000)  0.12
N (0.250, 0.250, 0.000)  0.12
N (0.250, 0.750, 0.000)  0.12

Total moment (μB per formula unit): 2.4
DFT total energy (eV/atom): -9.19

Entry from the Alexandria database: a relaxed structure of Sr2Li3IO6 (PBE).

abc: 6.250 6.250 5.389
angles: 98.25 98.25 124.01
Atoms (fractional coordinates):
Sr (0.329, 0.671, 0.000)
Sr (0.671, 0.329, 0.000)
Li (0.112, 0.888, 0.500)
Li (0.888, 0.112, 0.500)
Li (0.500, 0.500, 0.500)
I (0.000, 0.000, 0.000)
O (0.932, 0.656, 0.754)
O (0.766, 0.766, 0.240)
O (0.068, 0.344, 0.246)
O (0.656, 0.932, 0.754)
O (0.234, 0.234, 0.760)
O (0.344, 0.068, 0.246)

Total moment (μB per formula unit): 0.0
DFT total energy (eV/atom): -5.10

Entry from the Alexandria database: a relaxed structure of Sr2YCo (PBE).

abc: 3.637 3.637 9.929
angles: 90.00 90.00 90.00
Last column: magnetic moment on the atom in μB.
Atoms (fractional coordinates):
Co (0.500, 0.500, 0.715)  0.94
Sr (0.000, 0.000, 0.921)  -0.05
Sr (0.500, 0.500, 0.278)  0.00
Y (0.000, 0.000, 0.585)  -0.18

Total moment (μB per formula unit): 0.4
Formation energy (eV/atom): 0.1492
DFT total energy (eV/atom): -4.08
ΔE to the lowest computed polymorph (kJ/mol of atoms): 2.2

Entry from the Alexandria database: a relaxed structure of MgCd4In (PBE).

abc: 5.897 5.897 5.897
angles: 60.00 60.00 60.00
Atoms (fractional coordinates):
Cd (0.124, 0.625, 0.625)
Cd (0.625, 0.625, 0.625)
Cd (0.625, 0.124, 0.625)
Cd (0.625, 0.625, 0.124)
In (0.250, 0.250, 0.250)
Mg (0.000, 0.000, 0.000)

Total moment (μB per formula unit): 0.0
Formation energy (eV/atom): 0.0353
DFT total energy (eV/atom): -1.30
ΔE to the lowest computed polymorph (kJ/mol of atoms): 5.7

Entry from the Alexandria database: a relaxed structure of Li3CdPd6 (PBE).

abc: 5.515 7.441 7.441
angles: 101.48 90.00 90.00
Atoms (fractional coordinates):
Li (0.418, 0.998, 0.753)
Li (0.918, 0.753, 0.998)
Li (0.344, 0.495, 0.505)
Li (0.844, 0.505, 0.495)
Li (0.918, 0.002, 0.247)
Li (0.418, 0.247, 0.002)
Cd (0.065, 0.288, 0.712)
Cd (0.565, 0.712, 0.288)
Pd (0.117, 0.757, 0.700)
Pd (0.617, 0.700, 0.757)
Pd (0.293, 0.552, 0.967)
Pd (0.793, 0.967, 0.552)
Pd (0.347, 0.932, 0.068)
Pd (0.572, 0.308, 0.692)
Pd (0.072, 0.692, 0.308)
Pd (0.847, 0.068, 0.932)
Pd (0.293, 0.033, 0.448)
Pd (0.793, 0.448, 0.033)
Pd (0.117, 0.300, 0.243)
Pd (0.617, 0.243, 0.300)

Total moment (μB per formula unit): 0.0
Formation energy (eV/atom): -0.2517
DFT total energy (eV/atom): -4.03
ΔE to the lowest computed polymorph (kJ/mol of atoms): 8.7

Entry from the Alexandria database: a relaxed structure of CeTlPb2Br8 (PBE).

abc: 7.331 6.971 9.321
angles: 89.99 89.99 89.32
Last column: magnetic moment on the atom in μB.
Atoms (fractional coordinates):
Ce (0.000, 0.000, 0.000)  -0.99
Tl (0.000, 0.000, 0.500)  0.00
Pb (0.500, 0.500, 0.746)  0.00
Pb (0.500, 0.500, 0.254)  0.00
Br (0.158, 0.756, 0.223)  0.01
Br (0.673, 0.753, 0.000)  0.01
Br (0.842, 0.244, 0.223)  0.01
Br (0.842, 0.244, 0.777)  0.01
Br (0.327, 0.247, 0.000)  0.01
Br (0.158, 0.756, 0.777)  0.01
Br (0.635, 0.731, 0.500)  0.00
Br (0.365, 0.269, 0.500)  0.00

Total moment (μB per formula unit): 1.0
DFT total energy (eV/atom): -3.62

DOS(E_F), record by record: 0.595, 0.712, 0.336, 0.000, 0.718, 0.380, 0.544, 0.290 states/eV/atom